(1)
This record from Alexandria via LeMat-Bulk describes a relaxed InRe2Au crystal. The functional is PBE.

abc: 4.888 4.888 5.076
angles: 98.24 98.24 34.42
Fractional coordinates of all 4 atoms:
1 In 0.000 0.000 0.000
2 Re 0.246 0.246 0.698
3 Re 0.508 0.508 0.519
4 Au 0.756 0.756 0.225

Results
E_form in eV/f.u.: 1.95
Raw total energy in eV/cell: -29.0
N(E_F) in states/eV/f.u.: 3.2
Magnetic moment in μB per formula unit: 0.0


(2)
This record from Alexandria via LeMat-Bulk describes a relaxed Li2CePmSi2 crystal. The functional is PBE.

abc: 4.450 4.450 7.386
angles: 90.00 90.00 120.00
Fractional coordinates of all 6 atoms:
1 Li 0.333 0.667 0.250
2 Li 0.667 0.333 0.750
3 Ce 0.000 0.000 0.000
4 Pm 0.000 0.000 0.500
5 Si 0.333 0.667 0.756
6 Si 0.667 0.333 0.244

Results
E_form (uncorrected) in meV/atom: -484
Raw total energy in eV/cell: -28.3
N(E_F) in states/eV/f.u.: 6.4
Magnetic moment in μB per formula unit: 0.7


(3)
This record from Alexandria via LeMat-Bulk describes a relaxed PrAgRh crystal. The functional is PBE.

abc: 4.509 4.509 7.903
angles: 90.00 90.00 120.00
Fractional coordinates of all 6 atoms:
1 Pr 0.000 0.000 0.228
2 Pr 0.000 0.000 0.772
3 Ag 0.333 0.667 0.478
4 Ag 0.667 0.333 0.522
5 Rh 0.333 0.667 0.003
6 Rh 0.667 0.333 0.997

Results
Energy above the lowest structure with this stoichiometry in meV/atom: 32.5
E_form in eV/f.u.: -1.15
Raw total energy in eV/cell: -32.3
N(E_F) in states/eV/f.u.: 0.7
Magnetic moment in μB per formula unit: 0.0


(4)
This record from Alexandria via LeMat-Bulk describes a relaxed Sr3OF crystal. The functional is PBE.

abc: 5.231 5.231 5.231
angles: 90.00 90.00 90.00
Fractional coordinates of all 5 atoms:
1 Sr 0.000 0.000 0.500
2 Sr 0.000 0.500 0.000
3 Sr 0.500 0.000 0.000
4 O 0.000 0.000 0.000
5 F 0.500 0.500 0.500

Results
Energy above the lowest structure with this stoichiometry in meV/atom: 0.0
E_form (uncorrected) in meV/atom: -1446
Raw total energy in eV/cell: -19.1
N(E_F) in states/eV/f.u.: 4.2
Magnetic moment in μB per formula unit: 0.6